Entry 1:
Here is an optimized crystal structure of BaSr2Hg from Alexandria via LeMat-Bulk. Energies are from PBEsol.

a b c (Å): 3.997 3.997 10.508
angles (deg): 90.00 90.00 90.00
Atoms (fractional coordinates):
1 Sr 0.000 0.000 0.679
2 Sr 0.000 0.000 0.321
3 Hg 0.500 0.500 0.500
4 Ba 0.500 0.500 0.000

Entry 2:
Here is an optimized crystal structure of BaSr2Hg from Alexandria via LeMat-Bulk. Energies are from PBEsol.

a b c (Å): 4.348 4.348 11.638
angles (deg): 79.23 79.23 60.00
Atoms (fractional coordinates):
1 Sr 0.273 0.273 0.182
2 Sr 0.727 0.727 0.818
3 Hg 0.000 0.000 0.000
4 Ba 0.500 0.500 0.500

| no. | E_tot (eV/atom) |
| --- | --- |
| 1 | -1.886 |
| 2 | -1.810 |